Entry 1:
VASP calculation (PBE) on an optimized crystal structure of Mg3Ga5Ag2.

Crystal system ... monoclinic
E_form ... -39 kJ/mol of formula units
M_tot ... 0.000 μB per formula unit
ΔE to the lowest computed polymorph ... 25 meV per atom

Geometry as CIF:
```
data_Mg3Ga5Ag2
_chemical_formula_sum 'Mg12 Ga20 Ag8'
_space_group_name_H-M_alt 'C 1 2/c 1'
_space_group_IT_number 15
_space_group_name_Hall '-C 2yc'
_cell_length_a 9.532
_cell_length_b 12.132
_cell_length_c 7.729
_cell_angle_alpha 90.00
_cell_angle_beta 118.41
_cell_angle_gamma 90.00
loop_
_atom_site_label
_atom_site_type_symbol
_atom_site_fract_x
_atom_site_fract_y
_atom_site_fract_z
Mg1 Mg 0.000 0.250 0.250
Mg2 Mg 0.198 0.124 0.680
Ga1 Ga 0.000 0.023 0.250
Ga2 Ga 0.000 0.301 0.750
Ga3 Ga 0.000 0.487 0.250
Ga4 Ga 0.155 0.146 0.021
Ag1 Ag 0.189 0.384 0.594
```



Entry 2:
VASP calculation (PBE) on an optimized crystal structure of Mg3Ga2Ag5.

Crystal system ... monoclinic
E_form ... -67 kJ/mol of formula units
M_tot ... 0.000 μB per formula unit

Geometry as CIF:
```
data_Mg3Ga2Ag5
_chemical_formula_sum 'Mg12 Ga8 Ag20'
_space_group_name_H-M_alt 'C 1 2/c 1'
_space_group_IT_number 15
_space_group_name_Hall '-C 2yc'
_cell_length_a 9.227
_cell_length_b 12.007
_cell_length_c 7.824
_cell_angle_alpha 90.00
_cell_angle_beta 117.11
_cell_angle_gamma 90.00
loop_
_atom_site_label
_atom_site_type_symbol
_atom_site_fract_x
_atom_site_fract_y
_atom_site_fract_z
Mg1 Mg 0.000 0.000 0.250
Mg2 Mg 0.178 0.377 0.161
Ga1 Ga 0.182 0.127 0.086
Ag1 Ag 0.000 0.222 0.250
Ag2 Ag 0.000 0.234 0.750
Ag3 Ag 0.000 0.464 0.750
Ag4 Ag 0.182 0.377 0.541
```



Entry 3:
VASP calculation (PBE) on an optimized crystal structure of Mg2GaAg7.

Crystal system ... orthorhombic
E_form ... 209 kJ/mol of formula units
M_tot ... 0.000 μB per formula unit

Geometry as CIF:
```
data_Mg2GaAg7
_chemical_formula_sum 'Mg4 Ga2 Ag14'
_space_group_name_H-M_alt 'C m m m'
_space_group_IT_number 65
_space_group_name_Hall '-C 2 2'
_cell_length_a 7.478
_cell_length_b 14.129
_cell_length_c 4.456
_cell_angle_alpha 90.00
_cell_angle_beta 90.00
_cell_angle_gamma 90.00
loop_
_atom_site_label
_atom_site_type_symbol
_atom_site_fract_x
_atom_site_fract_y
_atom_site_fract_z
Mg1 Mg 0.000 0.201 0.000
Ga1 Ga 0.000 0.500 0.500
Ag1 Ag 0.000 0.000 0.000
Ag2 Ag 0.000 0.313 0.500
Ag3 Ag 0.185 0.397 0.000
```



Entry 4:
VASP calculation (PBE) on an optimized crystal structure of MgGa2Ag3.

Crystal system ... orthorhombic
E_form ... -46 kJ/mol of formula units
M_tot ... 0.000 μB per formula unit
ΔE to the lowest computed polymorph ... 0 meV per atom

Geometry as CIF:
```
data_MgGa2Ag3
_chemical_formula_sum 'Mg2 Ga4 Ag6'
_space_group_name_H-M_alt 'C m m m'
_space_group_IT_number 65
_space_group_name_Hall '-C 2 2'
_cell_length_a 4.194
_cell_length_b 12.359
_cell_length_c 4.112
_cell_angle_alpha 90.00
_cell_angle_beta 90.00
_cell_angle_gamma 90.00
loop_
_atom_site_label
_atom_site_type_symbol
_atom_site_fract_x
_atom_site_fract_y
_atom_site_fract_z
Mg1 Mg 0.000 0.000 0.000
Ga1 Ga 0.000 0.328 0.000
Ag1 Ag 0.000 0.166 0.500
Ag2 Ag 0.000 0.500 0.500
```



Entry 5:
VASP calculation (PBE) on an optimized crystal structure of Mg3Ga2Ag8.

Crystal system ... monoclinic
E_form ... -49 kJ/mol of formula units
M_tot ... 0.000 μB per formula unit
ΔE to the lowest computed polymorph ... 0 meV per atom

Geometry as CIF:
```
data_Mg3Ga2Ag8
_chemical_formula_sum 'Mg3 Ga2 Ag8'
_space_group_name_H-M_alt 'P 1 2/m 1'
_space_group_IT_number 10
_space_group_name_Hall '-P 2y'
_cell_length_a 7.498
_cell_length_b 4.671
_cell_length_c 8.040
_cell_angle_alpha 90.00
_cell_angle_beta 117.77
_cell_angle_gamma 90.00
loop_
_atom_site_label
_atom_site_type_symbol
_atom_site_fract_x
_atom_site_fract_y
_atom_site_fract_z
Mg1 Mg 0.000 0.000 0.000
Mg2 Mg 0.299 0.500 0.999
Ga1 Ga 0.221 0.000 0.440
Ag1 Ag 0.122 0.500 0.242
Ag2 Ag 0.190 0.000 0.771
Ag3 Ag 0.324 0.500 0.646
Ag4 Ag 0.419 0.000 0.227
```



Entry 6:
VASP calculation (PBE) on an optimized crystal structure of MgGaAg5.

Crystal system ... orthorhombic
E_form ... 108 kJ/mol of formula units
M_tot ... 0.000 μB per formula unit
ΔE to the lowest computed polymorph ... 198 meV per atom

Geometry as CIF:
```
data_MgGaAg5
_chemical_formula_sum 'Mg2 Ga2 Ag10'
_space_group_name_H-M_alt 'I m m 2'
_space_group_IT_number 44
_space_group_name_Hall 'I 2 -2'
_cell_length_a 5.500
_cell_length_b 7.159
_cell_length_c 7.438
_cell_angle_alpha 90.00
_cell_angle_beta 90.00
_cell_angle_gamma 90.00
loop_
_atom_site_label
_atom_site_type_symbol
_atom_site_fract_x
_atom_site_fract_y
_atom_site_fract_z
Mg1 Mg 0.000 0.000 0.000
Ga1 Ga 0.000 0.500 0.129
Ag1 Ag 0.000 0.000 0.655
Ag2 Ag 0.000 0.316 0.452
Ag3 Ag 0.243 0.500 0.804
```



Entry 7:
VASP calculation (PBE) on an optimized crystal structure of MgGa6Ag8.

Crystal system ... trigonal
E_form ... 34 kJ/mol of formula units
M_tot ... 0.000 μB per formula unit
ΔE to the lowest computed polymorph ... 10 meV per atom

Geometry as CIF:
```
data_MgGa6Ag8
_chemical_formula_sum 'Mg3 Ga18 Ag24'
_space_group_name_H-M_alt 'R -3'
_space_group_IT_number 148
_space_group_name_Hall '-R 3'
_cell_length_a 7.5304
_cell_length_b 7.5304
_cell_length_c 16.9826
_cell_angle_alpha 90.00
_cell_angle_beta 90.00
_cell_angle_gamma 120.00
loop_
_atom_site_label
_atom_site_type_symbol
_atom_site_fract_x
_atom_site_fract_y
_atom_site_fract_z
Mg1 Mg 0.0000 0.0000 0.0000
Ga1 Ga 0.0266 0.7606 0.6981
Ag1 Ag 0.0000 0.0000 0.4183
Ag2 Ag 0.0514 0.8068 0.1711
```



Entry 8:
VASP calculation (PBE) on an optimized crystal structure of Mg2Ga9Ag.

Crystal system ... tetragonal
E_form ... -57 kJ/mol of formula units
M_tot ... 0.000 μB per formula unit

Geometry as CIF:
```
data_Mg2Ga9Ag
_chemical_formula_sum 'Mg2 Ga9 Ag1'
_space_group_name_H-M_alt 'P 4/m m m'
_space_group_IT_number 123
_space_group_name_Hall '-P 4 2'
_cell_length_a 4.250
_cell_length_b 4.250
_cell_length_c 12.369
_cell_angle_alpha 90.00
_cell_angle_beta 90.00
_cell_angle_gamma 90.00
loop_
_atom_site_label
_atom_site_type_symbol
_atom_site_fract_x
_atom_site_fract_y
_atom_site_fract_z
Mg1 Mg 0.000 0.000 0.167
Ga1 Ga 0.000 0.500 0.000
Ga2 Ga 0.000 0.500 0.337
Ga3 Ga 0.500 0.500 0.165
Ga4 Ga 0.500 0.500 0.500
Ag1 Ag 0.000 0.000 0.500
```